! PBE with a Hubbard U HoTlV2O6, optimized geometry; values from VASP
! * crystal system: monoclinic
! * space-group type: No. 15
! * electronic total energy: -7.36 eV/atom
! * calculated volume: 320.5 Å³ per cell
&SYSTEM
  ibrav = 0, nat = 20, ntyp = 4
/
ATOMIC_SPECIES
Ho 164.93 Ho.upf
Tl 204.38 Tl.upf
V 50.94 V.upf
O 16.00 O.upf
CELL_PARAMETERS angstrom
7.380 0.699 0.621
-0.210 7.410 0.621
-1.386 -1.568 5.605
ATOMIC_POSITIONS angstrom
Ho 3.992 2.996 2.023
Ho 1.792 3.545 4.825
Tl 0.744 5.868 2.023
Tl 5.040 0.673 4.825
V 1.128 -0.119 4.814
V 5.347 4.652 4.836
V 4.656 6.660 2.033
V 0.437 1.889 2.012
O 6.217 3.168 2.185
O 4.093 0.767 1.860
O -0.433 3.373 4.662
O 1.690 5.774 4.988
O 1.135 1.160 0.432
O 5.464 6.057 3.613
O 4.649 5.381 6.416
O 0.319 0.484 3.234
O 1.780 2.965 2.628
O 3.752 5.195 1.417
O 4.003 3.576 4.220
O 2.032 1.346 5.430